First-principles (PBE-GGA) data for a geometry-optimized MgCd2Rh structure, as listed in Alexandria.

Cell lengths 4.007, 4.007, 10.390 Å; angles 78.88, 78.88, 90.00 degrees
Fractional coordinates of all 8 atoms:
Mg (0.500, 0.500, 0.000)
Mg (0.250, 0.750, 0.500)
Rh (0.000, 0.000, 0.000)
Rh (0.750, 0.250, 0.500)
Cd (0.637, 0.125, 0.250)
Cd (0.113, 0.625, 0.250)
Cd (0.375, 0.363, 0.750)
Cd (0.875, 0.887, 0.750)

Properties
Total magnetic moment, μB per atom: 0.000
E_form, eV/atom: 0.064